# BeCo4Pt PBE-GGA optimized geometry
# ΔH_f (0 K): 134.0 meV/atom
# Crystal system: cubic
# VASP energy: -37.39 eV/f.u.
# Theoretical density: 10.2 Mg/m³
data_BeCo4Pt
_cell_length_a 6.5942
_cell_length_b 6.5942
_cell_length_c 6.5942
_cell_angle_alpha 90.00
_cell_angle_beta 90.00
_cell_angle_gamma 90.00
_symmetry_space_group_name_H-M 'F -4 3 m'
_symmetry_Int_Tables_number 216
_symmetry_space_group_name_Hall 'F -4 2 3'
loop_
_atom_site_label
_atom_site_type_symbol
_atom_site_fract_x
_atom_site_fract_y
_atom_site_fract_z
Be1 Be 0.0000 0.0000 0.0000
Co1 Co 0.1256 0.1256 0.6256
Pt1 Pt 0.2500 0.2500 0.2500